(1)
Below is a geometry-optimized GdPSeS3 structure, with properties calculated at the PBE-GGA level.

```
12
Lattice="6.511 0.000 0.000 0.277 6.528 0.000 0.471 0.151 7.554" Properties=species:S:1:pos:R:3 pbc="T T T"
Gd 1.416 1.524 0.463
Gd 5.843 5.154 7.091
P 2.547 5.037 6.089
P 4.712 1.641 1.465
Se 2.636 4.976 0.708
Se 4.623 1.702 6.847
S 1.040 0.140 5.753
S 1.245 3.448 5.833
S 3.095 1.706 2.652
S 4.164 4.973 4.902
S 6.014 3.230 1.721
S 6.219 6.538 1.801
```

**Total energy**: -5.32 eV/atom
**Size of the total moment**: 0.00 μB/f.u.
**Crystal system**: triclinic
**Symmetry**: P-1
**Energy above the most stable polymorph in this dataset**: 0.0000 eV/atom

=====

(2)
Below is a geometry-optimized GdPSeS3 structure, with properties calculated at the PBE-GGA level.

```
12
Lattice="6.522 0.000 0.000 0.779 6.578 0.000 0.397 0.196 7.750" Properties=species:S:1:pos:R:3 pbc="T T T"
Gd 1.533 1.405 0.416
Gd 6.165 5.369 7.333
P 2.873 5.137 6.298
P 4.825 1.637 1.452
Se 3.117 1.804 2.781
Se 4.581 4.969 4.969
S 0.892 0.200 5.911
S 1.518 3.577 6.117
S 3.092 5.123 0.522
S 4.606 1.651 7.227
S 6.180 3.196 1.632
S 6.806 6.574 1.839
```

**Total energy**: -5.32 eV/atom
**Size of the total moment**: 0.00 μB/f.u.
**Crystal system**: triclinic
**Symmetry**: P-1
**Energy above the most stable polymorph in this dataset**: 0.0045 eV/atom

=====

(3)
Below is a geometry-optimized Gd3Sb2P structure, with properties calculated at the PBE-GGA level.

```
6
Lattice="4.266 0.000 0.000 -2.133 3.694 0.000 0.000 0.000 10.660" Properties=species:S:1:pos:R:3 pbc="T T T"
Gd 0.000 0.000 0.000
Gd 0.000 2.463 3.772
Gd 2.133 1.231 6.888
Sb 0.000 2.463 8.794
Sb 2.133 1.231 1.866
P 0.000 0.000 5.330
```

**Total energy**: -5.88 eV/atom
**Size of the total moment**: 0.01 μB/f.u.
**Crystal system**: trigonal
**Symmetry**: P-3m1

=====

(4)
Below is a geometry-optimized Gd3SbP2 structure, with properties calculated at the PBE-GGA level.

```
6
Lattice="4.132 0.000 0.000 -2.066 3.579 0.000 0.000 0.000 10.394" Properties=species:S:1:pos:R:3 pbc="T T T"
Gd 0.000 0.000 0.000
Gd 0.000 2.386 3.218
Gd 2.066 1.193 7.176
Sb 0.000 0.000 5.197
P 0.000 2.386 8.753
P 2.066 1.193 1.641
```

**Total energy**: -6.25 eV/atom
**Size of the total moment**: 0.00 μB/f.u.
**Crystal system**: trigonal
**Symmetry**: P-3m1

=====

(5)
Below is a geometry-optimized GdSc2P3 structure, with properties calculated at the PBE-GGA level.

```
6
Lattice="3.861 0.000 0.000 -1.931 3.344 0.000 0.000 0.000 9.416" Properties=species:S:1:pos:R:3 pbc="T T T"
Gd 0.000 0.000 0.000
Sc 0.000 2.229 3.210
Sc 1.931 1.115 6.206
P 0.000 0.000 4.708
P 0.000 2.229 7.693
P 1.931 1.115 1.722
```

**Total energy**: -7.10 eV/atom
**Size of the total moment**: 0.00 μB/f.u.
**Crystal system**: trigonal
**Symmetry**: P-3m1

=====

(6)
Below is a geometry-optimized GdYSc2P2 structure, with properties calculated at the PBE-GGA level.

```
6
Lattice="-2.040 2.040 7.606 2.040 -2.040 7.606 2.040 2.040 -7.606" Properties=species:S:1:pos:R:3 pbc="T T T"
Gd 0.000 0.000 0.000
Y 0.000 0.000 9.788
Sc 2.040 0.000 4.896
Sc 0.000 2.040 4.896
P 0.000 0.000 2.971
P 0.000 0.000 6.829
```

**Total energy**: -6.82 eV/atom
**Size of the total moment**: 0.86 μB/f.u.
**Crystal system**: tetragonal
**Symmetry**: I4mm